Record 1
This record from Alexandria describes crystalline LiCrSbRh at its relaxed geometry. The functional is GGA-PBE.

a = 6.271 Å, b = 6.271 Å, c = 6.271 Å
α = 90.00°, β = 90.00°, γ = 90.00°
Space group F-43m (No. 216)
Asymmetric unit:
Li  0.000  0.000  0.000 [4 per cell]
Cr  0.250  0.250  0.250 [4 per cell]
Sb  0.000  0.000  0.500 [4 per cell]
Rh  0.250  0.250  0.750 [4 per cell]

Calculated values
Formation energy from raw total energies   -0.25 eV per atom
Total magnetic moment   13.29 Bohr magnetons per cell
Calculated volume   246.65 Å³/cell

=====

Record 2
This record from Alexandria describes crystalline PaNbTl at its relaxed geometry. The functional is GGA-PBE.

a = 3.272 Å, b = 3.272 Å, c = 27.811 Å
α = 90.00°, β = 90.00°, γ = 90.00°
Space group I4/mmm (No. 139)
Asymmetric unit:
Pa  0.000  0.000  0.148 [4 per cell]
Nb  0.000  0.000  0.280 [4 per cell]
Tl  0.000  0.000  0.446 [4 per cell]

Calculated values
Total magnetic moment   0.00 Bohr magnetons per cell
Calculated volume   297.72 Å³/cell
Energy of formation   155.4 meV per atom

=====

Record 3
This record from Alexandria describes crystalline BaV3Rh at its relaxed geometry. The functional is GGA-PBE.

a = 4.885 Å, b = 4.885 Å, c = 4.885 Å
α = 90.00°, β = 90.00°, γ = 90.00°
Space group Pm-3m (No. 221)
Asymmetric unit:
Ba  0.000  0.000  0.000 [1 per cell]
V  0.000  0.500  0.500 [3 per cell]
Rh  0.500  0.500  0.500 [1 per cell]

Calculated values
Total magnetic moment   6.98 Bohr magnetons per cell
Energy above the lowest structure with this stoichiometry   0.00 eV/f.u.
Calculated volume   116.56 Å³/cell
Energy of formation   770.8 meV per atom

=====

Record 4
This record from Alexandria describes crystalline Ca2GdP at its relaxed geometry. The functional is GGA-PBE.

a = 4.0085 Å, b = 4.0085 Å, c = 31.9939 Å
α = 90.00°, β = 90.00°, γ = 120.00°
Space group R-3m (No. 166, hexagonal axes)
Asymmetric unit:
Ca  0.0000  0.0000  0.1193 [6 per cell]
Gd  0.0000  0.0000  0.0000 [3 per cell]
P  0.0000  0.0000  0.5000 [3 per cell]

Calculated values
Total magnetic moment   26.35 Bohr magnetons per cell
Calculated volume   445.21 Å³/cell
Energy of formation   -356.3 meV per atom

=====

Record 5
This record from Alexandria describes crystalline Ca3Sn2Pd6 at its relaxed geometry. The functional is GGA-PBE.

a = 9.812 Å, b = 9.812 Å, c = 9.812 Å
α = 90.00°, β = 90.00°, γ = 90.00°
Space group Im-3m (No. 229)
Asymmetric unit:
Ca  0.000  0.000  0.304 [12 per cell]
Sn  0.250  0.250  0.250 [8 per cell]
Pd  0.000  0.332  0.332 [24 per cell]

Calculated values
Total magnetic moment   0.00 Bohr magnetons per cell
Calculated volume   944.57 Å³/cell
Energy of formation   -698.5 meV per atom

=====

Record 6
This record from Alexandria describes crystalline Ni2POs at its relaxed geometry. The functional is GGA-PBE.

a = 5.744 Å, b = 5.744 Å, c = 5.744 Å
α = 90.00°, β = 90.00°, γ = 90.00°
Space group F-43m (No. 216)
Asymmetric unit:
Ni  0.000  0.000  0.000 [4 per cell]
Ni  0.250  0.250  0.250 [4 per cell]
P  0.250  0.250  0.750 [4 per cell]
Os  0.000  0.000  0.500 [4 per cell]

Calculated values
Total magnetic moment   0.00 Bohr magnetons per cell
Energy above the lowest structure with this stoichiometry   0.37 eV/f.u.
Calculated volume   189.48 Å³/cell
Energy of formation   -3.7 meV per atom

=====

Record 7
This record from Alexandria describes crystalline LaTb2TmS6 at its relaxed geometry. The functional is GGA-PBE.

a = 7.0169 Å, b = 7.0169 Å, c = 18.5822 Å
α = 90.00°, β = 90.00°, γ = 120.00°
Space group R3 (No. 146, hexagonal axes)
Asymmetric unit:
La  0.0000  0.0000  0.0000 [3 per cell]
Tb  0.0000  0.0000  0.2879 [3 per cell]
Tb  0.0000  0.0000  0.7935 [3 per cell]
Tm  0.0000  0.0000  0.4906 [3 per cell]
S  0.0236  0.7224  0.3913 [9 per cell]
S  0.0295  0.3581  0.5570 [9 per cell]

Calculated values
Formation energy from raw total energies   -2.08 eV per atom
Total magnetic moment   0.00 Bohr magnetons per cell
Calculated volume   792.37 Å³/cell

=====

Record 8
This record from Alexandria describes crystalline Cs6Hg2I at its relaxed geometry. The functional is GGA-PBE.

a = 23.806 Å, b = 5.454 Å, c = 10.907 Å
α = 90.00°, β = 98.73°, γ = 90.00°
Space group C2/m (No. 12)
Asymmetric unit:
Cs  0.001  0.000  0.255 [4 per cell]
Cs  0.167  0.500  0.083 [4 per cell]
Cs  0.170  0.500  0.590 [4 per cell]
Hg  0.166  0.000  0.334 [4 per cell]
I  0.000  0.500  0.000 [2 per cell]

Calculated values
Formation energy from raw total energies   -0.41 eV per atom
Total magnetic moment   0.00 Bohr magnetons per cell
Calculated volume   1399.71 Å³/cell

=====

Record 9
This record from Alexandria describes crystalline TiSb2TeRu at its relaxed geometry. The functional is GGA-PBE.

a = 4.974 Å, b = 4.974 Å, c = 5.560 Å
α = 90.00°, β = 90.00°, γ = 90.00°
Space group P4/mmm (No. 123)
Asymmetric unit:
Ti  0.000  0.000  0.000 [1 per cell]
Sb  0.000  0.500  0.500 [2 per cell]
Te  0.500  0.500  0.000 [1 per cell]
Ru  0.500  0.500  0.500 [1 per cell]

Calculated values
Formation energy from raw total energies   0.68 eV per atom
Total magnetic moment   0.04 Bohr magnetons per cell
Energy above the lowest structure with this stoichiometry   0.00 eV/f.u.
Calculated volume   137.54 Å³/cell

=====

Record 10
This record from Alexandria describes crystalline ZnInHg at its relaxed geometry. The functional is GGA-PBE.

a = 4.6553 Å, b = 4.6553 Å, c = 3.7771 Å
α = 90.00°, β = 90.00°, γ = 120.00°
Space group P3m1 (No. 156)
Asymmetric unit:
Zn  0.0000  0.0000  0.0000 [1 per cell]
In  0.6667  0.3333  0.6367 [1 per cell]
Hg  0.3333  0.6667  0.2111 [1 per cell]

Calculated values
Total magnetic moment   0.00 Bohr magnetons per cell
Energy above the lowest structure with this stoichiometry   0.15 eV/f.u.
Calculated volume   70.89 Å³/cell
Energy of formation   96.2 meV per atom

=====

Record 11
This record from Alexandria describes crystalline ReP2Se at its relaxed geometry. The functional is GGA-PBE.

a = 2.961 Å, b = 5.003 Å, c = 9.199 Å
α = 90.00°, β = 90.00°, γ = 90.00°
Space group Cmm2 (No. 35)
Asymmetric unit:
Re  0.000  0.000  0.000 [2 per cell]
P  0.000  0.000  0.584 [2 per cell]
P  0.000  0.500  0.784 [2 per cell]
Se  0.000  0.500  0.226 [2 per cell]

Calculated values
Formation energy from raw total energies   0.62 eV per atom
Total magnetic moment   0.00 Bohr magnetons per cell
Calculated volume   136.27 Å³/cell

=====

Record 12
This record from Alexandria describes crystalline Ag2WCl at its relaxed geometry. The functional is GGA-PBE.

a = 2.916 Å, b = 2.916 Å, c = 8.293 Å
α = 90.00°, β = 90.00°, γ = 90.00°
Space group P4/mmm (No. 123)
Asymmetric unit:
Ag  0.000  0.000  0.250 [2 per cell]
W  0.500  0.500  0.000 [1 per cell]
Cl  0.500  0.500  0.500 [1 per cell]

Calculated values
Formation energy from raw total energies   0.47 eV per atom
Total magnetic moment   0.00 Bohr magnetons per cell
Energy above the lowest structure with this stoichiometry   0.42 eV/f.u.
Calculated volume   70.50 Å³/cell

=====

Record 13
This record from Alexandria describes crystalline Pm2Sm2Te2Se3 at its relaxed geometry. The functional is GGA-PBE.

a = 5.733 Å, b = 5.733 Å, c = 15.703 Å
α = 90.00°, β = 90.00°, γ = 90.00°
Space group I4/mmm (No. 139)
Asymmetric unit:
Pm  0.000  0.500  0.000 [4 per cell]
Sm  0.000  0.000  0.197 [4 per cell]
Te  0.000  0.000  0.394 [4 per cell]
Se  0.000  0.000  0.000 [2 per cell]
Se  0.000  0.500  0.250 [4 per cell]

Calculated values
Formation energy from raw total energies   -1.47 eV per atom
Total magnetic moment   0.00 Bohr magnetons per cell
Calculated volume   516.13 Å³/cell

=====

Record 14
This record from Alexandria describes crystalline NaBe2GeMo at its relaxed geometry. The functional is GGA-PBE.

a = 4.523 Å, b = 4.523 Å, c = 4.811 Å
α = 90.00°, β = 90.00°, γ = 90.00°
Space group P4/mmm (No. 123)
Asymmetric unit:
Na  0.000  0.000  0.000 [1 per cell]
Be  0.000  0.500  0.500 [2 per cell]
Ge  0.500  0.500  0.000 [1 per cell]
Mo  0.500  0.500  0.500 [1 per cell]

Calculated values
Total magnetic moment   0.00 Bohr magnetons per cell
Energy above the lowest structure with this stoichiometry   0.00 eV/f.u.
Calculated volume   98.42 Å³/cell
Energy of formation   681.0 meV per atom